1:
## TlNiBi2 (PBE)

Data for a relaxed structure of TlNiBi2.

Summary:
Calculated volume ... 404.8 Å³/cell

Unit cell a=7.3973 b=7.3973 c=7.3973 alpha=90.00 beta=90.00 gamma=90.00
Fractional coordinates of all 16 atoms:
Tl1 0.0000 0.0000 0.0000
Tl2 0.0000 0.5000 0.5000
Tl3 0.5000 0.0000 0.5000
Tl4 0.5000 0.5000 0.0000
Ni1 0.0000 0.0000 0.5000
Ni2 0.0000 0.5000 0.0000
Ni3 0.5000 0.0000 0.0000
Ni4 0.5000 0.5000 0.5000
Bi1 0.2500 0.2500 0.2500
Bi2 0.2500 0.2500 0.7500
Bi3 0.2500 0.7500 0.2500
Bi4 0.2500 0.7500 0.7500
Bi5 0.7500 0.2500 0.2500
Bi6 0.7500 0.2500 0.7500
Bi7 0.7500 0.7500 0.2500
Bi8 0.7500 0.7500 0.7500

***

2:
## TlNiBi2 (PBE)

Data for a relaxed structure of TlNiBi2.

Summary:
Calculated volume ... 341.3 Å³/cell

Unit cell a=4.1439 b=4.1439 c=22.9479 alpha=90.00 beta=90.00 gamma=120.00
Fractional coordinates of all 12 atoms:
Tl1 0.0000 0.0000 0.0000
Tl2 0.3333 0.6667 0.6667
Tl3 0.6667 0.3333 0.3333
Ni1 0.0000 0.0000 0.8413
Ni2 0.3333 0.6667 0.5079
Ni3 0.6667 0.3333 0.1746
Bi1 0.0000 0.0000 0.2264
Bi2 0.0000 0.0000 0.4537
Bi3 0.3333 0.6667 0.1204
Bi4 0.3333 0.6667 0.8931
Bi5 0.6667 0.3333 0.5598
Bi6 0.6667 0.3333 0.7871

***

3:
## TlNiBi2 (PBE)

Data for a relaxed structure of TlNiBi2.

Summary:
Calculated volume ... 537.0 Å³/cell

Unit cell a=6.2721 b=6.2721 c=13.6498 alpha=90.00 beta=90.00 gamma=90.00
Fractional coordinates of all 16 atoms:
Tl1 0.0000 0.0000 0.0000
Tl2 0.0000 0.5000 0.2500
Tl3 0.5000 0.0000 0.7500
Tl4 0.5000 0.5000 0.5000
Ni1 0.0000 0.0000 0.5000
Ni2 0.0000 0.5000 0.7500
Ni3 0.5000 0.0000 0.2500
Ni4 0.5000 0.5000 0.0000
Bi1 0.1626 0.2500 0.6250
Bi2 0.2500 0.6626 0.8750
Bi3 0.2500 0.8374 0.3750
Bi4 0.3374 0.2500 0.1250
Bi5 0.6626 0.7500 0.1250
Bi6 0.7500 0.1626 0.3750
Bi7 0.7500 0.3374 0.8750
Bi8 0.8374 0.7500 0.6250

***

4:
## TlNiBi2 (PBE)

Data for a relaxed structure of TlNiBi2.

Summary:
Calculated volume ... 104.4 Å³/cell

Unit cell a=3.3184 b=3.3184 c=9.4800 alpha=90.00 beta=90.00 gamma=90.00
Fractional coordinates of all 4 atoms:
Tl1 0.0000 0.0000 0.0000
Ni1 0.0000 0.0000 0.5000
Bi1 0.5000 0.5000 0.3195
Bi2 0.5000 0.5000 0.6805

***

It is 1 that is the least stable of them.

***

1:
## TlNiBi3 (PBE)

Data for a relaxed structure of TlNiBi3.

Summary:
Calculated volume ... 148.0 Å³/cell

Unit cell a=5.2890 b=5.2890 c=5.2890 alpha=90.00 beta=90.00 gamma=90.00
Fractional coordinates of all 5 atoms:
Tl1 0.0000 0.0000 0.0000
Ni1 0.5000 0.5000 0.5000
Bi1 0.0000 0.5000 0.5000
Bi2 0.5000 0.0000 0.5000
Bi3 0.5000 0.5000 0.0000

***

2:
## TlNiBi3 (PBE)

Data for a relaxed structure of TlNiBi3.

Summary:
Calculated volume ... 194.5 Å³/cell

Unit cell a=5.7940 b=5.7940 c=5.7940 alpha=90.00 beta=90.00 gamma=90.00
Fractional coordinates of all 5 atoms:
Tl1 0.0000 0.0000 0.0000
Ni1 0.5000 0.5000 0.5000
Bi1 0.0000 0.0000 0.5000
Bi2 0.0000 0.5000 0.0000
Bi3 0.5000 0.0000 0.0000

***

It is 2 that is the least stable of them.

***

1:
## Tl3NiBi (PBE)

Data for a relaxed structure of Tl3NiBi.

Summary:
Calculated volume ... 220.7 Å³/cell

Unit cell a=6.0428 b=6.0428 c=6.0428 alpha=90.00 beta=90.00 gamma=90.00
Fractional coordinates of all 5 atoms:
Tl1 0.0000 0.0000 0.5000
Tl2 0.0000 0.5000 0.0000
Tl3 0.5000 0.0000 0.0000
Ni1 0.5000 0.5000 0.5000
Bi1 0.0000 0.0000 0.0000

***

2:
## Tl3NiBi (PBE)

Data for a relaxed structure of Tl3NiBi.

Summary:
Calculated volume ... 139.8 Å³/cell

Unit cell a=5.1898 b=5.1898 c=5.1898 alpha=90.00 beta=90.00 gamma=90.00
Fractional coordinates of all 5 atoms:
Tl1 0.0000 0.0000 0.5000
Tl2 0.0000 0.5000 0.0000
Tl3 0.5000 0.0000 0.0000
Ni1 0.0000 0.0000 0.0000
Bi1 0.5000 0.5000 0.5000

***

It is 1 that is the least stable of them.

***

1:
## Tl2NiBi (PBE)

Data for a relaxed structure of Tl2NiBi.

Summary:
Calculated volume ... 405.6 Å³/cell

Unit cell a=7.4020 b=7.4020 c=7.4020 alpha=90.00 beta=90.00 gamma=90.00
Fractional coordinates of all 16 atoms:
Tl1 0.2500 0.2500 0.2500
Tl2 0.2500 0.2500 0.7500
Tl3 0.2500 0.7500 0.2500
Tl4 0.2500 0.7500 0.7500
Tl5 0.7500 0.2500 0.2500
Tl6 0.7500 0.2500 0.7500
Tl7 0.7500 0.7500 0.2500
Tl8 0.7500 0.7500 0.7500
Ni1 0.0000 0.0000 0.0000
Ni2 0.0000 0.5000 0.5000
Ni3 0.5000 0.0000 0.5000
Ni4 0.5000 0.5000 0.0000
Bi1 0.0000 0.0000 0.5000
Bi2 0.0000 0.5000 0.0000
Bi3 0.5000 0.0000 0.0000
Bi4 0.5000 0.5000 0.5000

***

2:
## Tl2NiBi (PBE)

Data for a relaxed structure of Tl2NiBi.

Summary:
Calculated volume ... 447.2 Å³/cell

Unit cell a=4.9743 b=4.9743 c=18.0740 alpha=90.00 beta=90.00 gamma=90.00
Fractional coordinates of all 16 atoms:
Tl1 0.1698 0.2500 0.1250
Tl2 0.2500 0.6698 0.3750
Tl3 0.2500 0.8302 0.8750
Tl4 0.3302 0.2500 0.6250
Tl5 0.6698 0.7500 0.6250
Tl6 0.7500 0.1698 0.8750
Tl7 0.7500 0.3302 0.3750
Tl8 0.8302 0.7500 0.1250
Ni1 0.0000 0.0000 0.0000
Ni2 0.0000 0.5000 0.2500
Ni3 0.5000 0.0000 0.7500
Ni4 0.5000 0.5000 0.5000
Bi1 0.0000 0.0000 0.5000
Bi2 0.0000 0.5000 0.7500
Bi3 0.5000 0.0000 0.2500
Bi4 0.5000 0.5000 0.0000

***

It is 1 that is the least stable of them.

***

1:
## Tm2NiBi (PBE)

Data for a relaxed structure of Tm2NiBi.

Summary:
Calculated volume ... 193.5 Å³/cell

Unit cell a=6.1419 b=4.0910 c=8.1680 alpha=90.00 beta=109.49 gamma=90.00
Fractional coordinates of all 8 atoms:
Tm1 0.1605 0.2500 0.3928
Tm2 0.2386 0.7500 0.0474
Tm3 0.7614 0.2500 0.9526
Tm4 0.8395 0.7500 0.6072
Ni1 0.1188 0.2500 0.7944
Ni2 0.8812 0.7500 0.2056
Bi1 0.3846 0.7500 0.7086
Bi2 0.6154 0.2500 0.2914

***

2:
## Tm2NiBi (PBE)

Data for a relaxed structure of Tm2NiBi.

Summary:
Calculated volume ... 347.1 Å³/cell

Unit cell a=3.7917 b=3.7917 c=27.8817 alpha=90.00 beta=90.00 gamma=120.00
Fractional coordinates of all 12 atoms:
Tm1 0.0000 0.0000 0.1137
Tm2 0.0000 0.0000 0.8863
Tm3 0.3333 0.6667 0.5530
Tm4 0.3333 0.6667 0.7803
Tm5 0.6667 0.3333 0.2197
Tm6 0.6667 0.3333 0.4470
Ni1 0.0000 0.0000 0.5000
Ni2 0.3333 0.6667 0.1667
Ni3 0.6667 0.3333 0.8333
Bi1 0.0000 0.0000 0.0000
Bi2 0.3333 0.6667 0.6667
Bi3 0.6667 0.3333 0.3333

***

3:
## Tm2NiBi (PBE)

Data for a relaxed structure of Tm2NiBi.

Summary:
Calculated volume ... 94.4 Å³/cell

Unit cell a=3.4611 b=3.4611 c=7.8810 alpha=90.00 beta=90.00 gamma=90.00
Fractional coordinates of all 4 atoms:
Tm1 0.0000 0.0000 0.2004
Tm2 0.0000 0.0000 0.7996
Ni1 0.5000 0.5000 0.0000
Bi1 0.5000 0.5000 0.5000

***

It is 2 that is the least stable of them.

***

1:
## Y2Ni2Bi (PBE)

Data for a relaxed structure of Y2Ni2Bi.

Summary:
Calculated volume ... 210.8 Å³/cell

Unit cell a=7.4336 b=7.4336 c=3.8148 alpha=90.00 beta=90.00 gamma=90.00
Fractional coordinates of all 10 atoms:
Y1 0.1734 0.3266 0.0000
Y2 0.3266 0.8266 0.0000
Y3 0.6734 0.1734 0.0000
Y4 0.8266 0.6734 0.0000
Ni1 0.1148 0.6148 0.5000
Ni2 0.3852 0.1148 0.5000
Ni3 0.6148 0.8852 0.5000
Ni4 0.8852 0.3852 0.5000
Bi1 0.0000 0.0000 0.5000
Bi2 0.5000 0.5000 0.5000

***

2:
## Y2Ni2Bi (PBE)

Data for a relaxed structure of Y2Ni2Bi.

Summary:
Calculated volume ... 225.4 Å³/cell

Unit cell a=5.2668 b=5.2668 c=8.1268 alpha=90.00 beta=90.00 gamma=90.00
Fractional coordinates of all 10 atoms:
Y1 0.0000 0.5000 0.2500
Y2 0.0000 0.5000 0.7500
Y3 0.5000 0.0000 0.2500
Y4 0.5000 0.0000 0.7500
Ni1 0.0000 0.0000 0.1377
Ni2 0.0000 0.0000 0.8623
Ni3 0.5000 0.5000 0.3623
Ni4 0.5000 0.5000 0.6377
Bi1 0.0000 0.0000 0.5000
Bi2 0.5000 0.5000 0.0000

***

It is 2 that is the least stable of them.